First-principles (PBE) data for an optimized crystal structure of Y2HgPb, as listed in Alexandria via LeMat-Bulk.

Cell lengths 4.231, 3.553, 8.001 Å; angles 63.59, 90.00, 90.00 degrees
Fractional coordinates of all 4 atoms:
Pb1 0.500 0.750 0.750
Hg1 0.500 0.250 0.250
Y1 0.000 0.504 0.495
Y2 0.000 0.996 0.005

Calculated values
The formation enthalpy at 0 K is -491 meV/atom. Its space group is No. 47.